VASP calculation (PBE) on a geometry-optimized KLiSnCl6 structure.

The structure in CIF format:
```
data_KLiSnCl6
_chemical_formula_sum 'K2 Li2 Sn2 Cl12'
_space_group_name_H-M_alt 'P -3 1 c'
_space_group_IT_number 163
_space_group_name_Hall '-P 3 2c'
_cell_length_a 6.6320
_cell_length_b 6.6320
_cell_length_c 13.8818
_cell_angle_alpha 90.00
_cell_angle_beta 90.00
_cell_angle_gamma 120.00
loop_
_atom_site_label
_atom_site_type_symbol
_atom_site_fract_x
_atom_site_fract_y
_atom_site_fract_z
_atom_site_occupancy
K1 K 0.0000 0.0000 0.0000 1
Li1 Li 0.3333 0.6667 0.2500 1
Sn1 Sn 0.3333 0.6667 0.7500 1
Cl1 Cl 0.0138 0.3775 0.6471 1
```

Summary:
**Size of the total moment**: 0.00 μB/f.u.
**Fermi-level density of states**: 0.000 states/eV/atom
**Raw total energy**: -3.40 eV per atom
**ΔE_f (raw)**: -1.390 eV/atom



VASP calculation (PBE) on a geometry-optimized Ba2PtNO structure.

The structure in CIF format:
```
data_Ba2PtNO
_chemical_formula_sum 'Ba2 Pt1 N1 O1'
_space_group_name_H-M_alt 'P 4/m m m'
_space_group_IT_number 123
_space_group_name_Hall '-P 4 2'
_cell_length_a 5.414
_cell_length_b 5.414
_cell_length_c 4.004
_cell_angle_alpha 90.00
_cell_angle_beta 90.00
_cell_angle_gamma 90.00
loop_
_atom_site_label
_atom_site_type_symbol
_atom_site_fract_x
_atom_site_fract_y
_atom_site_fract_z
_atom_site_occupancy
Ba1 Ba 0.000 0.500 0.000 1
Pt1 Pt 0.000 0.000 0.500 1
N1 N 0.500 0.500 0.500 1
O1 O 0.000 0.000 0.000 1
```

Summary:
**Size of the total moment**: 1.00 μB/f.u.
**Fermi-level density of states**: 0.515 states/eV/atom
**Raw total energy**: -5.15 eV per atom
**ΔE_f (raw)**: -0.512 eV/atom



VASP calculation (PBE) on a geometry-optimized Pm3Al2Zn7 structure.

The structure in CIF format:
```
data_Pm3Al2Zn7
_chemical_formula_sum 'Pm9 Al6 Zn21'
_space_group_name_H-M_alt 'R -3 m'
_space_group_IT_number 166
_space_group_name_Hall '-R 3 2"'
_cell_length_a 5.5580
_cell_length_b 5.5580
_cell_length_c 25.9915
_cell_angle_alpha 90.00
_cell_angle_beta 90.00
_cell_angle_gamma 120.00
loop_
_atom_site_label
_atom_site_type_symbol
_atom_site_fract_x
_atom_site_fract_y
_atom_site_fract_z
_atom_site_occupancy
Pm1 Pm 0.0000 0.0000 0.0000 1
Pm2 Pm 0.0000 0.0000 0.1418 1
Al1 Al 0.0000 0.0000 0.3346 1
Zn1 Zn 0.0000 0.0000 0.5000 1
Zn2 Zn 0.0054 0.5027 0.9178 1
```

Summary:
**ΔE_f**: -0.318 eV/atom
**Size of the total moment**: 0.00 μB/f.u.
**Fermi-level density of states**: 0.709 states/eV/atom
**Raw total energy**: -2.87 eV per atom



VASP calculation (PBE) on a geometry-optimized Rb2InGe4As7 structure.

The structure in CIF format:
```
data_Rb2InGe4As7
_chemical_formula_sum 'Rb4 In2 Ge8 As14'
_space_group_name_H-M_alt 'C 1 m 1'
_space_group_IT_number 8
_space_group_name_Hall 'C -2y'
_cell_length_a 17.039
_cell_length_b 3.888
_cell_length_c 12.646
_cell_angle_alpha 90.00
_cell_angle_beta 90.28
_cell_angle_gamma 90.00
loop_
_atom_site_label
_atom_site_type_symbol
_atom_site_fract_x
_atom_site_fract_y
_atom_site_fract_z
_atom_site_occupancy
Rb1 Rb 0.000 0.000 0.000 1
Rb2 Rb 0.032 0.500 0.528 1
In1 In 0.299 0.500 0.582 1
Ge1 Ge 0.239 0.000 0.806 1
Ge2 Ge 0.240 0.500 0.070 1
Ge3 Ge 0.299 0.000 0.300 1
Ge4 Ge 0.425 0.500 0.716 1
As1 As 0.125 0.500 0.196 1
As2 As 0.153 0.000 0.317 1
As3 As 0.171 0.500 0.896 1
As4 As 0.193 0.000 0.620 1
As5 As 0.327 0.000 0.108 1
As6 As 0.364 0.500 0.383 1
As7 As 0.383 0.000 0.831 1
```

Summary:
**ΔE_f**: -0.204 eV/atom
**Size of the total moment**: 0.00 μB/f.u.
**Fermi-level density of states**: 0.168 states/eV/atom
**Raw total energy**: -4.18 eV per atom



VASP calculation (PBE) on a geometry-optimized PtRhAu structure.

The structure in CIF format:
```
data_PtRhAu
_chemical_formula_sum 'Pt4 Rh4 Au4'
_space_group_name_H-M_alt 'F m m 2'
_space_group_IT_number 42
_space_group_name_Hall 'F 2 -2'
_cell_length_a 2.775
_cell_length_b 4.819
_cell_length_c 14.498
_cell_angle_alpha 90.00
_cell_angle_beta 90.00
_cell_angle_gamma 90.00
loop_
_atom_site_label
_atom_site_type_symbol
_atom_site_fract_x
_atom_site_fract_y
_atom_site_fract_z
_atom_site_occupancy
Pt1 Pt 0.000 0.000 0.000 1
Rh1 Rh 0.000 0.000 0.660 1
Au1 Au 0.000 0.000 0.326 1
```

Summary:
**ΔE_f**: 0.162 eV/atom
**Offset from the most stable computed form**: 72.4 meV/atom
**Size of the total moment**: 0.00 μB/f.u.
**Fermi-level density of states**: 1.631 states/eV/atom
**Raw total energy**: -5.39 eV per atom



VASP calculation (PBE) on a geometry-optimized Ba2PaO5 structure.

The structure in CIF format:
```
data_Ba2PaO5
_chemical_formula_sum 'Ba2 Pa1 O5'
_space_group_name_H-M_alt 'P 4/m m m'
_space_group_IT_number 123
_space_group_name_Hall '-P 4 2'
_cell_length_a 6.214
_cell_length_b 6.214
_cell_length_c 4.297
_cell_angle_alpha 90.00
_cell_angle_beta 90.00
_cell_angle_gamma 90.00
loop_
_atom_site_label
_atom_site_type_symbol
_atom_site_fract_x
_atom_site_fract_y
_atom_site_fract_z
_atom_site_occupancy
Ba1 Ba 0.000 0.500 0.000 1
Pa1 Pa 0.000 0.000 0.500 1
O1 O 0.000 0.000 0.000 1
O2 O 0.240 0.240 0.500 1
```

Summary:
**Offset from the most stable computed form**: 140.6 meV/atom
**Size of the total moment**: 1.02 μB/f.u.
**Fermi-level density of states**: 0.464 states/eV/atom
**Raw total energy**: -7.55 eV per atom
**ΔE_f (raw)**: -2.780 eV/atom



VASP calculation (PBE) on a geometry-optimized K2NaCuSe2 structure.

The structure in CIF format:
```
data_K2NaCuSe2
_chemical_formula_sum 'K8 Na4 Cu4 Se8'
_space_group_name_H-M_alt 'I b a m'
_space_group_IT_number 72
_space_group_name_Hall '-I 2 2c'
_cell_length_a 6.586
_cell_length_b 14.871
_cell_length_c 6.461
_cell_angle_alpha 90.00
_cell_angle_beta 90.00
_cell_angle_gamma 90.00
loop_
_atom_site_label
_atom_site_type_symbol
_atom_site_fract_x
_atom_site_fract_y
_atom_site_fract_z
_atom_site_occupancy
K1 K 0.243 0.170 0.000 1
Na1 Na 0.000 0.500 0.250 1
Cu1 Cu 0.000 0.000 0.250 1
Se1 Se 0.218 0.099 0.500 1
```

Summary:
**Size of the total moment**: 0.00 μB/f.u.
**Raw total energy**: -3.26 eV per atom
**ΔE_f (raw)**: -0.834 eV/atom